PmNdHo2Tl4 | PBE | relaxed

Cell: 5.426 5.426 9.415 Å, 73.25 73.25 60.00°
Sites, in units of the cell vectors:
Pm1 0.500 0.500 0.500
Nd1 0.000 0.000 0.000
Ho1 0.750 0.750 0.750
Ho2 0.250 0.250 0.250
Tl1 0.375 0.375 0.874
Tl2 0.875 0.875 0.376
Tl3 0.125 0.125 0.624
Tl4 0.625 0.625 0.126

Calculated values
space group: R-3m
total DFT energy (no corrections): -30.98 eV/cell
density of states at the Fermi level: 0.78 states/eV/atom
calculated density: 10.537 g cm⁻³

=====

Tb5Dy2Sc5 | PBE | relaxed

Cell: 4.848 7.666 10.874 Å, 115.08 90.00 108.43°
Sites, in units of the cell vectors:
Tb1 0.500 0.000 0.500
Tb2 0.665 0.329 0.999
Tb3 0.588 0.176 0.252
Tb4 0.412 0.824 0.748
Tb5 0.335 0.671 0.001
Dy1 0.083 0.167 0.746
Dy2 0.917 0.833 0.254
Sc1 0.171 0.342 0.502
Sc2 0.750 0.500 0.746
Sc3 0.250 0.500 0.254
Sc4 0.829 0.658 0.498
Sc5 0.000 0.000 0.000

Calculated values
space group: C2/m
energy above the most stable polymorph in this dataset: 0.000 eV/f.u.
density of states at the Fermi level: 1.48 states/eV/atom
calculated density: 6.509 g cm⁻³